Entry 1:
{
  "formula": "KHg2Cl",
  "functional": "PBE",
  "state": "optimized geometry",
  "e_form_raw_ev_per_atom": -0.855,
  "rho_g_cm3": 6.0,
  "final_energy_ev_per_atom": -1.74,
  "crystal_system": "tetragonal",
  "sg": "P4/mmm",
  "cell": [[4.431, 0.423, 0.000], [-0.425, 4.431, 0.000], [0.000, 0.000, 6.659]],
  "species": ["Hg", "Hg", "Cl", "K"],
  "fractional_positions": [[0.500, 0.500, 0.000], [0.000, 0.000, 0.000], [0.000, 0.500, 0.500], [0.500, 0.000, 0.500]]
}



Entry 2:
{
  "formula": "NpSnIrAu",
  "functional": "PBE",
  "state": "optimized geometry",
  "formation_enthalpy_0k_ev_per_atom": -0.118,
  "rho_g_cm3": 15.1,
  "final_energy_ev_per_atom": -7.39,
  "crystal_system": "cubic",
  "sg": "F-43m",
  "cell": [[-0.538, 4.805, -0.581], [-0.441, 1.878, -4.471], [-4.275, 1.812, -1.470]],
  "species": ["Np", "Ir", "Au", "Sn"],
  "fractional_positions": [[0.750, 0.750, 0.750], [0.000, 0.000, 0.000], [0.500, 0.500, 0.500], [0.250, 0.250, 0.250]]
}



Entry 3:
{
  "formula": "Ac3PrTlCo",
  "functional": "PBE",
  "state": "optimized geometry",
  "formation_enthalpy_0k_ev_per_atom": -0.126,
  "rho_g_cm3": 8.9,
  "final_energy_ev_per_atom": -4.56,
  "crystal_system": "monoclinic",
  "sg": "C2/m",
  "cell": [[8.909, 0.968, -2.933], [5.029, 7.417, -2.933], [0.105, 0.063, 6.561]],
  "species": ["Ac", "Ac", "Ac", "Ac", "Ac", "Ac", "Pr", "Pr", "Co", "Co", "Tl", "Tl"],
  "fractional_positions": [[0.184, 0.184, 0.635], [0.133, 0.636, 0.912], [0.816, 0.816, 0.365], [0.867, 0.364, 0.088], [0.636, 0.133, 0.912], [0.364, 0.867, 0.088], [0.269, 0.731, 0.500], [0.731, 0.269, 0.500], [0.008, 0.008, 0.218], [0.992, 0.992, 0.782], [0.312, 0.312, 0.311], [0.688, 0.688, 0.689]]
}



Entry 4:
{
  "formula": "Pr12Pt6Pb",
  "functional": "PBE",
  "state": "optimized geometry",
  "formation_enthalpy_0k_ev_per_atom": -0.754,
  "rho_g_cm3": 8.9,
  "final_energy_ev_per_atom": -5.88,
  "crystal_system": "cubic",
  "sg": "Im-3",
  "cell": [[-6.646, 4.942, 3.677], [1.296, -7.479, 4.951], [7.642, 4.868, -0.176]],
  "species": ["Pr", "Pr", "Pr", "Pr", "Pr", "Pr", "Pr", "Pr", "Pr", "Pr", "Pr", "Pr", "Pb", "Pt", "Pt", "Pt", "Pt", "Pt", "Pt"],
  "fractional_positions": [[0.125, 0.820, 0.305], [0.305, 0.125, 0.820], [0.695, 0.514, 0.820], [0.486, 0.180, 0.305], [0.180, 0.695, 0.875], [0.820, 0.305, 0.125], [0.514, 0.820, 0.695], [0.180, 0.305, 0.486], [0.695, 0.875, 0.180], [0.875, 0.180, 0.695], [0.305, 0.486, 0.180], [0.820, 0.695, 0.514], [0.000, 0.000, 0.000], [0.134, 0.634, 0.500], [0.866, 0.366, 0.500], [0.366, 0.500, 0.866], [0.500, 0.134, 0.634], [0.634, 0.500, 0.134], [0.500, 0.866, 0.366]]
}